Density functional theory data (GGA-PBE) for a relaxed structure of LaTbCeZr.

abc: 7.805 7.805 7.805
angles: 90.00 90.00 90.00
Space group F-43m (No. 216)
One atom of each set of equivalent atoms:
La  0.000  0.000  0.000 [4 per cell]
Tb  0.250  0.250  0.750 [4 per cell]
Ce  0.000  0.000  0.500 [4 per cell]
Zr  0.250  0.250  0.250 [4 per cell]

DOS(E_F) ... 35.664 states/eV per cell
E_form ... 92 kJ/mol of formula units
Magnetic moment ... 0.60 μB per formula unit